Record 1
The following is a DFT calculation (GGA-PBE) of a relaxed structure of RbErIn2Cl6.

a b c (Å): 7.860 7.860 8.064
angles (deg): 60.78 60.78 59.92
Fractional positions:
Cl  0.141  0.416  0.779
Cl  0.557  0.208  0.240
Cl  0.208  0.996  0.240
Cl  0.665  0.140  0.780
Cl  0.416  0.664  0.779
Cl  0.995  0.557  0.240
In  0.526  0.526  0.422
In  0.020  0.020  0.939
Rb  0.812  0.812  0.563
Er  0.322  0.322  0.033

Values from the calculation:
Formation energy (no corrections): -1.6566 eV/atom
Energy: -3.865 eV/atom
Total magnetic moment: 0.0000 μB/atom
Density: 3241 kg/m³
DOS at the Fermi energy: 0.00 states/eV/f.u.

Record 2
The following is a DFT calculation (GGA-PBE) of a relaxed structure of Ac2Nd3Ga4.

a b c (Å): 7.917 8.400 8.344
angles (deg): 90.00 90.00 106.08
Fractional positions:
Nd  0.000  0.500  0.500
Nd  0.248  0.761  0.177
Nd  0.752  0.239  0.823
Nd  0.500  0.500  0.000
Nd  0.748  0.761  0.323
Nd  0.252  0.239  0.677
Ac  0.929  0.810  0.823
Ac  0.429  0.810  0.677
Ac  0.571  0.190  0.323
Ac  0.071  0.190  0.177
Ga  0.619  0.502  0.615
Ga  0.624  0.921  0.035
Ga  0.119  0.502  0.885
Ga  0.876  0.079  0.535
Ga  0.124  0.921  0.465
Ga  0.881  0.498  0.115
Ga  0.381  0.498  0.385
Ga  0.376  0.079  0.965

Values from the calculation:
Formation energy: -507.4 meV/atom
Energy: -4.355 eV/atom
Total magnetic moment: 0.0000 μB/atom
Density: 7261 kg/m³
DOS at the Fermi energy: 8.09 states/eV/f.u.

Record 3
The following is a DFT calculation (GGA-PBE) of a relaxed structure of Mg2GeBiO6.

a b c (Å): 6.708 7.665 7.665
angles (deg): 113.90 70.86 70.86
Fractional positions:
O  0.638  0.834  0.020
O  0.478  0.378  0.297
O  0.026  0.615  0.170
O  0.474  0.830  0.385
O  0.022  0.703  0.622
O  0.138  0.020  0.834
O  0.362  0.166  0.980
O  0.522  0.622  0.703
O  0.974  0.385  0.830
O  0.526  0.170  0.615
O  0.978  0.297  0.378
O  0.862  0.980  0.166
Ge  0.250  0.208  0.792
Ge  0.750  0.792  0.208
Mg  0.647  0.297  0.465
Mg  0.147  0.465  0.297
Mg  0.853  0.535  0.703
Mg  0.353  0.703  0.535
Bi  0.750  0.059  0.941
Bi  0.250  0.941  0.059

Values from the calculation:
Formation energy (no corrections): -1.7029 eV/atom
Energy: -5.847 eV/atom
Total magnetic moment: 0.0000 μB/atom
Density: 4916 kg/m³
DOS at the Fermi energy: 5.02 states/eV/f.u.